# ErTm9Th2 PBE relaxed
# - ρ: 9.8 Mg/m³
# - N(E_F): 1.6492 states/eV per atom
# - Symmetry: No. 123
# - Total energy: -4.94 eV/atom
data_ErTm9Th2
_chemical_formula_sum 'Er1 Tm9 Th2'
_symmetry_space_group_name_H-M 'P 1'
_symmetry_Int_Tables_number 1
_symmetry_space_group_name_Hall 'P 1'
_cell_length_a 4.962
_cell_length_b 4.962
_cell_length_c 14.870
_cell_angle_alpha 90.00
_cell_angle_beta 90.00
_cell_angle_gamma 90.00
loop_
_atom_site_label
_atom_site_type_symbol
_atom_site_fract_x
_atom_site_fract_y
_atom_site_fract_z
Th1 Th 0.000 0.000 0.334
Th2 Th 0.000 0.000 0.666
Tm1 Tm 0.500 0.500 0.668
Tm2 Tm 0.000 0.500 0.167
Tm3 Tm 0.500 0.000 0.500
Tm4 Tm 0.000 0.500 0.833
Tm5 Tm 0.000 0.500 0.500
Tm6 Tm 0.500 0.500 0.000
Tm7 Tm 0.500 0.500 0.332
Tm8 Tm 0.500 0.000 0.833
Tm9 Tm 0.500 0.000 0.167
Er1 Er 0.000 0.000 0.000